(1)
# ScHPd2Rh

ScHPd2Rh after structural relaxation (GGA-PBE, the Alexandria database).

a b c (Å): 3.915 3.915 4.277
angles (deg): 90.00 90.00 90.00
Positions (direct):
Sc  0.000  0.000  0.000
H  0.000  0.000  0.500
Pd  0.000  0.500  0.500
Pd  0.500  0.000  0.500
Rh  0.500  0.500  0.000

Results
ρ   9.161 g/cm3
Symmetry   P4/mmm (123)
Total DFT energy (no corrections)   -6.040 eV per atom

---

(2)
# ScHPdRh2

ScHPdRh2 after structural relaxation (GGA-PBE, the Alexandria database).

a b c (Å): 3.933 3.933 4.145
angles (deg): 90.00 90.00 90.00
Positions (direct):
Sc  0.000  0.000  0.000
H  0.000  0.000  0.500
Pd  0.500  0.500  0.000
Rh  0.000  0.500  0.500
Rh  0.500  0.000  0.500

Results
ρ   9.275 g/cm3
Symmetry   P4/mmm (123)
Total DFT energy (no corrections)   -6.470 eV per atom

---

(3)
# H2PdRhSe

H2PdRhSe after structural relaxation (GGA-PBE, the Alexandria database).

a b c (Å): 3.547 3.547 4.997
angles (deg): 90.00 90.00 90.00
Positions (direct):
H  0.000  0.500  0.000
H  0.500  0.000  0.000
Pd  0.000  0.000  0.500
Rh  0.500  0.500  0.000
Se  0.500  0.500  0.500

Results
ρ   7.666 g/cm3
Symmetry   P4/mmm (123)
Total DFT energy (no corrections)   -4.438 eV per atom

---

(4)
# SiHPdRh2

SiHPdRh2 after structural relaxation (GGA-PBE, the Alexandria database).

a b c (Å): 3.919 3.919 3.811
angles (deg): 90.00 90.00 90.00
Positions (direct):
Si  0.000  0.000  0.000
H  0.500  0.500  0.500
Pd  0.500  0.500  0.000
Rh  0.000  0.500  0.500
Rh  0.500  0.000  0.500

Results
ρ   9.685 g/cm3
Symmetry   P4/mmm (123)
Total DFT energy (no corrections)   -6.019 eV per atom

---

(5)
# SiHPd2Rh

SiHPd2Rh after structural relaxation (GGA-PBE, the Alexandria database).

a b c (Å): 3.875 3.875 3.989
angles (deg): 90.00 90.00 90.00
Positions (direct):
Si  0.000  0.000  0.000
H  0.500  0.500  0.500
Pd  0.000  0.500  0.500
Pd  0.500  0.000  0.500
Rh  0.500  0.500  0.000

Results
ρ   9.562 g/cm3
Symmetry   P4/mmm (123)
Total DFT energy (no corrections)   -5.589 eV per atom

---

(6)
# Sm2H6PdRh2

Sm2H6PdRh2 after structural relaxation (GGA-PBE, the Alexandria database).

a b c (Å): 6.062 6.062 6.062
angles (deg): 50.12 50.12 50.12
Positions (direct):
Sm  0.227  0.227  0.227
Sm  0.773  0.773  0.773
H  0.199  0.765  0.765
H  0.235  0.235  0.801
H  0.235  0.801  0.235
H  0.765  0.199  0.765
H  0.765  0.765  0.199
H  0.801  0.235  0.235
Pd  0.000  0.000  0.000
Rh  0.400  0.400  0.400
Rh  0.600  0.600  0.600

Results
ρ   8.515 g/cm3
Symmetry   R-3m (166)
Total DFT energy (no corrections)   -4.897 eV per atom

---

(7)
# SmH6Pd2Rh

SmH6Pd2Rh after structural relaxation (GGA-PBE, the Alexandria database).

a b c (Å): 4.717 8.668 4.624
angles (deg): 90.00 90.00 90.00
Positions (direct):
Sm  0.000  0.000  0.000
Sm  0.500  0.500  0.500
H  0.147  0.357  0.233
H  0.147  0.357  0.767
H  0.176  0.087  0.500
H  0.324  0.587  0.000
H  0.353  0.857  0.267
H  0.353  0.857  0.733
H  0.647  0.143  0.267
H  0.647  0.143  0.733
H  0.676  0.413  0.000
H  0.824  0.913  0.500
H  0.853  0.643  0.233
H  0.853  0.643  0.767
Pd  0.060  0.746  0.500
Pd  0.440  0.246  0.000
Pd  0.560  0.754  0.000
Pd  0.940  0.254  0.500
Rh  0.000  0.500  0.000
Rh  0.500  0.000  0.500

Results
ρ   8.293 g/cm3
Symmetry   Pnnm (58)
Total DFT energy (no corrections)   -4.615 eV per atom

---

(8)
# SmH8Pd2Rh3

SmH8Pd2Rh3 after structural relaxation (GGA-PBE, the Alexandria database).

a b c (Å): 5.729 5.729 5.729
angles (deg): 59.37 59.37 59.37
Positions (direct):
Sm  0.000  0.000  0.000
H  0.371  0.371  0.848
H  0.371  0.848  0.371
H  0.386  0.386  0.386
H  0.476  0.852  0.852
H  0.843  0.843  0.843
H  0.848  0.371  0.371
H  0.852  0.476  0.852
H  0.852  0.852  0.476
Pd  0.254  0.254  0.254
Pd  0.623  0.623  0.623
Rh  0.132  0.623  0.623
Rh  0.623  0.132  0.623
Rh  0.623  0.623  0.132

Results
ρ   8.615 g/cm3
Symmetry   R3m (160)
Total DFT energy (no corrections)   -4.831 eV per atom

---

The highest total DFT energy (no corrections) belongs to which entry? H2PdRhSe